Entry from Alexandria via LeMat-Bulk: a relaxed structure of Tb8Dy2Y (PBE).

extended XYZ file:
```
11
Lattice="-5.463 0.895 0.055 -1.260 -7.507 -3.012 2.957 0.427 8.820" Properties=species:S:1:pos:R:3 pbc="T T T"
Tb -3.731 -5.641 -0.072
Tb -0.551 -3.625 4.701
Tb -0.132 -0.931 2.370
Tb -2.878 -0.895 7.984
Tb -3.633 -5.255 3.492
Tb -3.215 -2.560 1.162
Tb -0.034 -0.544 5.935
Tb -0.888 -5.290 -2.122
Dy -0.791 -4.913 1.454
Dy -2.974 -1.272 4.409
Y -2.731 0.447 0.027
```

The formation energy is 116 meV per atom. Its space-group type is No. 71. The value obtained for the spin magnetization is 0.0 μB/f.u. The density of states at the Fermi level is 1.56 states/eV/atom. The density comes out at 7.82 g/cm³. The value obtained for the excess energy over the best structure of this formula in the dataset is 0 meV/atom.